[1]
Crystalline Ba2CaOs at its relaxed geometry, computed with PBE-GGA.

a = 7.767 Å, b = 7.767 Å, c = 7.767 Å
α = 151.79°, β = 135.72°, γ = 53.34°
Fractional positions:
1 Ca 0.412 0.412 0.000
2 Os 0.254 0.754 0.500
3 Ba 0.081 0.081 0.000
4 Ba 0.752 0.252 0.500

Results
The offset from the most stable computed form is 1.65 kcal/mol of atoms. The mass density comes out at 5.45 g/cm3. The spin magnetization is 0.000 μB/cell. The value obtained for the formation energy is 0.495 eV/atom. The space-group type is Imm2.

=====

[2]
Crystalline Ba2CaOs at its relaxed geometry, computed with PBE-GGA.

a = 3.792 Å, b = 4.734 Å, c = 9.283 Å
α = 75.19°, β = 90.00°, γ = 90.00°
Fractional positions:
1 Ca 0.000 0.508 0.609
2 Os 0.500 0.990 0.644
3 Ba 0.000 0.850 0.923
4 Ba 0.500 0.151 0.324

Results
The offset from the most stable computed form is 1.19 kcal/mol of atoms. The mass density comes out at 5.20 g/cm3. The spin magnetization is 0.000 μB/cell. The value obtained for the formation energy is 0.475 eV/atom. The space-group type is Amm2.

=====

[3]
Crystalline BaCa3Os at its relaxed geometry, computed with PBE-GGA.

a = 5.513 Å, b = 5.513 Å, c = 5.513 Å
α = 90.00°, β = 90.00°, γ = 90.00°
Fractional positions:
1 Ca 0.000 0.500 0.000
2 Ca 0.000 0.000 0.500
3 Ca 0.500 0.000 0.000
4 Os 0.500 0.500 0.500
5 Ba 0.000 0.000 0.000

Results
The offset from the most stable computed form is 41.64 kcal/mol of atoms. The mass density comes out at 4.44 g/cm3. The spin magnetization is 0.000 μB/cell. The value obtained for the formation energy is 2.082 eV/atom. The space-group type is Pm-3m.

=====

> Number 1 is which compound?

Ba2CaOs

=====

> Which value of offset from the most stable computed form does entry 2 give?

1.19 kcal/mol of atoms

=====

> Which value of offset from the most stable computed form does entry 2 give?

1.19 kcal/mol of atoms